# 1
A relaxed CrGe3Se crystal. Source: the Alexandria database, functional PBE.

```
CrGe3Se
1.0
4.972 0.000 0.000
0.000 4.972 0.000
0.000 0.000 4.972
Ge Cr Se
3 1 1
Direct
0.500 0.000 0.000
0.000 0.500 0.000
0.000 0.000 0.500
0.500 0.500 0.500
0.000 0.000 0.000
```

Values from the calculation:
For the uncorrected energy, the calculation gives -3.932 eV per atom. As for the space-group type: No. 221. For the energy above the lowest structure with this stoichiometry, the calculation gives 1.176 eV per atom. For the uncorrected formation energy, the calculation gives 704 kJ/mol of formula units.

---

# 2
A relaxed CrGeSe3 crystal. Source: the Alexandria database, functional PBE.

```
CrGeSe3
1.0
4.844 0.000 0.000
0.000 4.844 0.000
0.000 0.000 4.844
Se Cr Ge
3 1 1
Direct
0.500 0.000 0.000
0.000 0.500 0.000
0.000 0.000 0.500
0.000 0.000 0.000
0.500 0.500 0.500
```

Values from the calculation:
For the uncorrected energy, the calculation gives -4.744 eV per atom. As for the space-group type: No. 221. For the uncorrected formation energy, the calculation gives 94 kJ/mol of formula units.

---

# 3
A relaxed CrGe2Se6 crystal. Source: the Alexandria database, functional PBE.

```
CrGe2Se6
1.0
-1.689 5.006 -3.931
-2.778 -4.390 -6.328
-7.892 0.513 2.115
Ge Se Cr
4 12 2
Direct
0.163 0.608 0.775
0.337 0.225 0.392
0.837 0.392 0.225
0.663 0.775 0.608
0.348 0.716 0.519
0.652 0.284 0.481
0.878 0.188 0.019
0.625 0.629 0.115
0.875 0.885 0.371
0.152 0.481 0.284
0.375 0.371 0.885
0.122 0.812 0.981
0.848 0.519 0.716
0.378 0.019 0.188
0.622 0.981 0.812
0.125 0.115 0.629
0.250 0.101 0.899
0.750 0.899 0.101
```

Values from the calculation:
For the uncorrected energy, the calculation gives -4.639 eV per atom. As for the space-group type: No. 15. For the uncorrected formation energy, the calculation gives -192 kJ/mol of formula units.

---

# 4
A relaxed CrGeSe3 crystal. Source: the Alexandria database, functional PBE.

```
CrGeSe3
1.0
4.923 0.000 0.000
0.000 4.923 0.000
0.000 0.000 4.923
Ge Se Cr
1 3 1
Direct
0.000 0.000 0.000
0.000 0.000 0.500
0.500 0.000 0.000
0.000 0.500 0.000
0.500 0.500 0.500
```

Values from the calculation:
For the uncorrected energy, the calculation gives -3.909 eV per atom. As for the space-group type: No. 221. For the uncorrected formation energy, the calculation gives 497 kJ/mol of formula units.

---

# 5
A relaxed CrGeSe3 crystal. Source: the Alexandria database, functional PBE.

```
CrGeSe3
1.0
3.671 0.000 0.000
0.000 6.565 -0.394
0.000 0.638 9.464
Se Cr Ge
6 2 2
Direct
0.250 0.225 0.007
0.250 0.618 0.678
0.750 0.775 0.993
0.750 0.084 0.688
0.250 0.916 0.312
0.750 0.382 0.322
0.750 0.069 0.166
0.250 0.931 0.834
0.250 0.572 0.194
0.750 0.428 0.806
```

Values from the calculation:
For the uncorrected energy, the calculation gives -5.317 eV per atom. As for the space-group type: No. 11. For the uncorrected formation energy, the calculation gives -182 kJ/mol of formula units.

---

# 6
A relaxed Cr2GeTeSe crystal. Source: the Alexandria database, functional PBE.

```
Cr2GeTeSe
1.0
4.876 0.000 0.000
0.000 5.296 0.000
0.000 0.000 4.876
Ge Cr Te Se
1 2 1 1
Direct
0.000 0.500 0.000
0.000 0.000 0.500
0.500 0.000 0.000
0.500 0.500 0.500
0.000 0.000 0.000
```

Values from the calculation:
For the uncorrected energy, the calculation gives -5.559 eV per atom. As for the space-group type: No. 123. For the uncorrected formation energy, the calculation gives 260 kJ/mol of formula units.

---

# 7
A relaxed TlCrGeSe4 crystal. Source: the Alexandria database, functional PBE.

```
TlCrGeSe4
1.0
-2.944 0.848 5.886
-5.620 -3.326 -2.332
6.043 -7.998 -3.157
Se Cr Tl Ge
8 2 2 2
Direct
0.677 0.250 0.818
0.103 0.004 0.685
0.323 0.750 0.182
0.103 0.496 0.685
0.897 0.504 0.315
0.600 0.750 0.599
0.897 0.996 0.315
0.400 0.250 0.401
0.198 0.250 0.543
0.802 0.750 0.457
0.327 0.250 0.082
0.673 0.750 0.918
0.808 0.250 0.653
0.192 0.750 0.347
```

Values from the calculation:
For the uncorrected energy, the calculation gives -4.653 eV per atom. As for the space-group type: No. 11. For the uncorrected formation energy, the calculation gives -196 kJ/mol of formula units.

---

# 8
A relaxed Tl2CrGeSe4 crystal. Source: the Alexandria database, functional PBE.

```
Tl2CrGeSe4
1.0
-0.129 -6.836 -1.011
6.512 -3.578 -0.261
-0.506 -5.010 10.317
Se Tl Cr Ge
8 4 2 2
Direct
0.267 0.811 0.112
0.561 0.311 0.612
0.622 0.189 0.112
0.189 0.189 0.888
0.828 0.689 0.612
0.128 0.311 0.388
0.483 0.689 0.388
0.922 0.811 0.888
0.818 0.000 0.363
0.182 0.000 0.637
0.568 0.500 0.863
0.932 0.500 0.137
0.750 0.500 0.500
0.000 0.000 0.000
0.250 0.500 0.500
0.500 0.000 0.000
```

Values from the calculation:
For the uncorrected energy, the calculation gives -4.416 eV per atom. As for the space-group type: No. 70. For the uncorrected formation energy, the calculation gives -233 kJ/mol of formula units.

---

# 9
A relaxed TlCrGe2Se crystal. Source: the Alexandria database, functional PBE.

```
TlCrGe2Se
1.0
4.746 0.000 0.000
0.000 5.320 0.000
0.000 0.000 4.746
Tl Se Cr Ge
1 1 1 2
Direct
0.000 0.500 0.000
0.500 0.500 0.500
0.000 0.000 0.000
0.000 0.000 0.500
0.500 0.000 0.000
```

Values from the calculation:
For the uncorrected energy, the calculation gives -4.574 eV per atom. As for the space-group type: No. 123. For the uncorrected formation energy, the calculation gives 177 kJ/mol of formula units.

---

# 10
A relaxed TlCrGeSe3 crystal. Source: the Alexandria database, functional PBE.

```
TlCrGeSe3
1.0
-1.925 1.079 2.919
-6.917 -3.284 -3.348
5.468 -6.720 6.091
Cr Tl Se Ge
2 2 6 2
Direct
0.250 0.588 0.116
0.750 0.412 0.884
0.250 0.194 0.272
0.750 0.806 0.728
0.250 0.172 0.801
0.750 0.828 0.199
0.250 0.620 0.904
0.750 0.371 0.619
0.750 0.380 0.096
0.250 0.629 0.381
0.250 0.142 0.559
0.750 0.858 0.441
```

Values from the calculation:
For the uncorrected energy, the calculation gives -4.829 eV per atom. As for the space-group type: No. 11. For the uncorrected formation energy, the calculation gives -185 kJ/mol of formula units.

---

# 11
A relaxed Tl2Cr2GeSe6 crystal. Source: the Alexandria database, functional PBE.

```
Tl2Cr2GeSe6
1.0
6.541 -0.044 0.065
-3.271 5.664 0.065
-1.145 -1.969 7.541
Cr Se Ge Tl
2 6 1 2
Direct
0.331 0.669 0.500
0.669 0.331 0.500
0.598 0.940 0.319
0.060 0.402 0.681
0.714 0.714 0.679
0.286 0.286 0.321
0.402 0.060 0.681
0.940 0.598 0.319
0.000 0.000 0.500
0.837 0.163 0.000
0.163 0.837 0.000
```

Values from the calculation:
For the uncorrected energy, the calculation gives -4.936 eV per atom. As for the space-group type: No. 12. For the uncorrected formation energy, the calculation gives -463 kJ/mol of formula units.

---

# 12
A relaxed V2CrGeSe crystal. Source: the Alexandria database, functional PBE.

```
V2CrGeSe
1.0
4.511 0.000 0.000
0.000 4.343 0.000
0.000 0.000 4.511
Se V Ge Cr
1 2 1 1
Direct
0.000 0.500 0.000
0.500 0.000 0.000
0.000 0.000 0.500
0.500 0.500 0.500
0.000 0.000 0.000
```

Values from the calculation:
For the uncorrected energy, the calculation gives -6.349 eV per atom. As for the space-group type: No. 123. For the uncorrected formation energy, the calculation gives 407 kJ/mol of formula units.